Record 1
An optimized crystal structure of In2Ga2Ru, computed with PBE.

Computed properties:
Its calculated total energy is -3.971 eV/atom. Its symmetry is P4/mbm (127).

Lattice parameters (Å, degrees): 6.7396 6.7396 4.2222 90.00 90.00 90.00
With the nearest neighbours (Å) after each atom.
Sites, in units of the cell vectors:
In: 0.1765 0.3235 0.0000  6 Ga 2.76-3.00
In: 0.3235 0.8235 0.0000  6 Ga 2.76-3.00
In: 0.6765 0.1765 0.0000  6 Ga 2.76-3.00
In: 0.8235 0.6765 0.0000  6 Ga 2.76-3.00
Ga: 0.1363 0.6363 0.5000  1 Ga 2.60, 2 Ru 2.62, 2 In 2.76
Ga: 0.3637 0.1363 0.5000  1 Ga 2.60, 2 Ru 2.62, 2 In 2.76
Ga: 0.6363 0.8637 0.5000  1 Ga 2.60, 2 Ru 2.62, 2 In 2.76
Ga: 0.8637 0.3637 0.5000  1 Ga 2.60, 2 Ru 2.62, 2 In 2.76
Ru: 0.0000 0.0000 0.5000  4 Ga 2.62
Ru: 0.5000 0.5000 0.5000  4 Ga 2.62

---

Record 2
An optimized crystal structure of Sc2TiB2Ru5, computed with PBE.

Computed properties:
Its calculated total energy is -8.639 eV/atom. Its symmetry is P4/mbm (127).

Lattice parameters (Å, degrees): 9.4132 9.4132 3.0526 90.00 90.00 90.00
With the nearest neighbours (Å) after each atom.
Sites, in units of the cell vectors:
Sc: 0.1745 0.3255 0.0000  3 B 2.68-2.85, 10 Ru 2.78-2.96
Sc: 0.3255 0.8255 0.0000  3 B 2.68-2.85, 10 Ru 2.78-2.96
Sc: 0.6745 0.1745 0.0000  3 B 2.68-2.85, 10 Ru 2.78-2.96
Sc: 0.8255 0.6745 0.0000  3 B 2.68-2.85, 10 Ru 2.78-2.96
Ti: 0.0000 0.0000 0.0000  8 Ru 2.62
Ti: 0.5000 0.5000 0.0000  8 Ru 2.62
B: 0.1241 0.6241 0.0000  6 Ru 2.21-2.25
B: 0.3759 0.1241 0.0000  6 Ru 2.21-2.25
B: 0.6241 0.8759 0.0000  6 Ru 2.21-2.25
B: 0.8759 0.3759 0.0000  6 Ru 2.21-2.25
Ru: 0.0000 0.5000 0.5000  4 B 2.25
Ru: 0.0718 0.7852 0.5000  2 B 2.21
Ru: 0.2148 0.0718 0.5000  2 B 2.21
Ru: 0.2852 0.5718 0.5000  2 B 2.21
Ru: 0.4282 0.2852 0.5000  2 B 2.21
Ru: 0.5000 0.0000 0.5000  4 B 2.25
Ru: 0.5718 0.7148 0.5000  2 B 2.21
Ru: 0.7148 0.4282 0.5000  2 B 2.21
Ru: 0.7852 0.9282 0.5000  2 B 2.21
Ru: 0.9282 0.2148 0.5000  2 B 2.21

---

Record 3
An optimized crystal structure of Sc2VTeBr, computed with PBE.

Computed properties:
Its calculated total energy is -5.168 eV/atom. Its symmetry is P4/mmm (123).

Lattice parameters (Å, degrees): 5.0408 5.0408 4.6083 90.00 90.00 90.00
With the nearest neighbours (Å) after each atom.
Sites, in units of the cell vectors:
Sc: 0.0000 0.5000 0.0000  2 Br 2.52
Sc: 0.5000 0.0000 0.0000  2 Br 2.52
V: 0.0000 0.0000 0.5000  2 Br 2.30
Te: 0.5000 0.5000 0.5000  8 Sc 3.41, 4 V 3.56
Br: 0.0000 0.0000 0.0000  2 V 2.30, 4 Sc 2.52

---

Record 4
An optimized crystal structure of ReP2Pb, computed with PBE.

Computed properties:
Its calculated total energy is -5.810 eV/atom. Its symmetry is Cmmm (65).

Lattice parameters (Å, degrees): 4.6653 4.6653 3.3043 90.00 90.00 105.92
With the nearest neighbours (Å) after each atom.
Sites, in units of the cell vectors:
Re: 0.0000 0.0000 0.0000  2 Pb 2.81, 8 P 2.86
P: 0.0000 0.5000 0.5000  2 P 2.81, 4 Pb 2.86, 4 Re 2.86
P: 0.5000 0.0000 0.5000  2 P 2.81, 4 Pb 2.86, 4 Re 2.86
Pb: 0.5000 0.5000 0.0000  2 Re 2.81, 8 P 2.86

---

Record 5
An optimized crystal structure of Sr2Hg2Pd5Au, computed with PBE.

Computed properties:
Its calculated total energy is -3.698 eV/atom. Its symmetry is P4/mbm (127).

Lattice parameters (Å, degrees): 10.2302 10.2302 4.0354 90.00 90.00 90.00
With the nearest neighbours (Å) after each atom.
Sites, in units of the cell vectors:
Sr: 0.1744 0.3256 0.0000  3 Hg 2.89-3.11, 2 Pd 3.23
Sr: 0.3256 0.8256 0.0000  3 Hg 2.89-3.11, 2 Pd 3.23
Sr: 0.6744 0.1744 0.0000  3 Hg 2.89-3.11, 2 Pd 3.23
Sr: 0.8256 0.6744 0.0000  3 Hg 2.89-3.11, 2 Pd 3.23
Hg: 0.1257 0.6257 0.0000  6 Pd 2.72-2.83, 1 Sr 2.89
Hg: 0.3743 0.1257 0.0000  6 Pd 2.72-2.83, 1 Sr 2.89
Hg: 0.6257 0.8743 0.0000  6 Pd 2.72-2.83, 1 Sr 2.89
Hg: 0.8743 0.3743 0.0000  6 Pd 2.72-2.83, 1 Sr 2.89
Pd: 0.0000 0.5000 0.5000  4 Hg 2.72
Pd: 0.0574 0.8067 0.5000  2 Hg 2.83, 2 Au 2.89, 2 Pd 2.92
Pd: 0.1933 0.0574 0.5000  2 Hg 2.83, 2 Au 2.89, 2 Pd 2.92
Pd: 0.3067 0.5574 0.5000  2 Hg 2.83, 2 Au 2.89, 2 Pd 2.92
Pd: 0.4426 0.3067 0.5000  2 Hg 2.83, 2 Au 2.89, 2 Pd 2.92
Pd: 0.5000 0.0000 0.5000  4 Hg 2.72
Pd: 0.5574 0.6933 0.5000  2 Hg 2.83, 2 Au 2.89, 2 Pd 2.92
Pd: 0.6933 0.4426 0.5000  2 Hg 2.83, 2 Au 2.89, 2 Pd 2.92
Pd: 0.8067 0.9426 0.5000  2 Hg 2.83, 2 Au 2.89, 2 Pd 2.92
Pd: 0.9426 0.1933 0.5000  2 Hg 2.83, 2 Au 2.89, 2 Pd 2.92
Au: 0.0000 0.0000 0.0000  8 Pd 2.89
Au: 0.5000 0.5000 0.0000  8 Pd 2.89

---

Record 6
An optimized crystal structure of Pr4Te5Br, computed with PBE.

Computed properties:
Its calculated total energy is -4.991 eV/atom. Its symmetry is C2/m (12).

Lattice parameters (Å, degrees): 10.2134 10.2134 9.3008 105.08 105.08 25.31
With the nearest neighbours (Å) after each atom.
Sites, in units of the cell vectors:
Pr: 0.0040 0.0040 0.2745  4 Te 3.08-3.18, 2 Br 3.38
Pr: 0.3192 0.3192 0.8829  5 Te 3.11-3.23, 1 Br 3.48
Pr: 0.6808 0.6808 0.1171  5 Te 3.11-3.23, 1 Br 3.48
Pr: 0.9960 0.9960 0.7255  4 Te 3.08-3.18, 2 Br 3.38
Te: 0.1605 0.1605 0.8579  4 Pr 3.11-3.23
Te: 0.1639 0.1639 0.3375  3 Pr 3.08-3.11
Te: 0.5000 0.5000 0.5000  4 Pr 3.08
Te: 0.8361 0.8361 0.6625  3 Pr 3.08-3.11
Te: 0.8395 0.8395 0.1421  4 Pr 3.11-3.23
Br: 0.5000 0.5000 0.0000  6 Pr 3.38-3.48

---

Record 7
An optimized crystal structure of UPbAu, computed with PBE.

Computed properties:
Its calculated total energy is -5.903 eV/atom. Its symmetry is Fmmm (69).

Lattice parameters (Å, degrees): 7.3314 6.8654 5.0226 74.34 64.38 41.27
With the nearest neighbours (Å) after each atom.
Sites, in units of the cell vectors:
U: 0.1587 0.8413 0.1587  1 U 2.53
U: 0.8413 0.1587 0.8413  1 U 2.53
Pb: 0.2500 0.2500 0.2500  4 Au 3.03, 2 Pb 3.05
Pb: 0.7500 0.7500 0.7500  4 Au 3.03, 2 Pb 3.05
Au: 0.3882 0.3882 0.6118  1 Au 2.75, 4 Pb 3.03, 2 U 3.05
Au: 0.6118 0.6118 0.3882  1 Au 2.75, 4 Pb 3.03, 2 U 3.05

---

Record 8
An optimized crystal structure of DyTaGe2O8, computed with PBE.

Computed properties:
Its calculated total energy is -7.812 eV/atom. Its symmetry is I-4m2 (119).

Lattice parameters (Å, degrees): 5.7632 5.7632 5.7632 107.19 107.19 114.14
With the nearest neighbours (Å) after each atom.
Sites, in units of the cell vectors:
Dy: 0.0000 0.0000 0.0000  8 O 2.24-2.41
Ta: 0.7500 0.2500 0.5000  8 O 2.11-2.20
Ge: 0.2500 0.7500 0.5000  4 O 1.76
Ge: 0.5000 0.5000 0.0000  4 O 1.78
O: 0.0438 0.3685 0.3247  1 Ge 1.76
O: 0.0438 0.7191 0.6753  1 Ge 1.76
O: 0.1189 0.3174 0.8016  1 Ge 1.78
O: 0.2809 0.9562 0.3247  1 Ge 1.76
O: 0.5158 0.3174 0.1984  1 Ge 1.78
O: 0.6315 0.9562 0.6753  1 Ge 1.76
O: 0.6826 0.4842 0.8016  1 Ge 1.78
O: 0.6826 0.8811 0.1984  1 Ge 1.78

---

> What is the formula in the eighth record?

DyTaGe2O8

---

> Among the records above, which one has the highest calculated total energy?

Sr2Hg2Pd5Au

---

Copy entry 2 word for word.
An optimized crystal structure of Sc2TiB2Ru5, computed with PBE.

Computed properties:
Its calculated total energy is -8.639 eV/atom. Its symmetry is P4/mbm (127).

Lattice parameters (Å, degrees): 9.4132 9.4132 3.0526 90.00 90.00 90.00
With the nearest neighbours (Å) after each atom.
Sites, in units of the cell vectors:
Sc: 0.1745 0.3255 0.0000  3 B 2.68-2.85, 10 Ru 2.78-2.96
Sc: 0.3255 0.8255 0.0000  3 B 2.68-2.85, 10 Ru 2.78-2.96
Sc: 0.6745 0.1745 0.0000  3 B 2.68-2.85, 10 Ru 2.78-2.96
Sc: 0.8255 0.6745 0.0000  3 B 2.68-2.85, 10 Ru 2.78-2.96
Ti: 0.0000 0.0000 0.0000  8 Ru 2.62
Ti: 0.5000 0.5000 0.0000  8 Ru 2.62
B: 0.1241 0.6241 0.0000  6 Ru 2.21-2.25
B: 0.3759 0.1241 0.0000  6 Ru 2.21-2.25
B: 0.6241 0.8759 0.0000  6 Ru 2.21-2.25
B: 0.8759 0.3759 0.0000  6 Ru 2.21-2.25
Ru: 0.0000 0.5000 0.5000  4 B 2.25
Ru: 0.0718 0.7852 0.5000  2 B 2.21
Ru: 0.2148 0.0718 0.5000  2 B 2.21
Ru: 0.2852 0.5718 0.5000  2 B 2.21
Ru: 0.4282 0.2852 0.5000  2 B 2.21
Ru: 0.5000 0.0000 0.5000  4 B 2.25
Ru: 0.5718 0.7148 0.5000  2 B 2.21
Ru: 0.7148 0.4282 0.5000  2 B 2.21
Ru: 0.7852 0.9282 0.5000  2 B 2.21
Ru: 0.9282 0.2148 0.5000  2 B 2.21